[1]
# SmNi4P2

SmNi4P2 after structural relaxation (GGA-PBE, the Alexandria database).

Properties
- DOS at the Fermi energy (states/eV per cell) = 29.04
- energy above the most stable polymorph in this dataset (kJ/mol of formula units) = 0
- crystal system = orthorhombic
- ΔE_f (meV/atom) = -800.2

a = 10.7254 Å, b = 14.1258 Å, c = 3.7342 Å
α = 90.00°, β = 90.00°, γ = 90.00°
Closest atoms and distances in Å follow each position.
Space group Pnnm (No. 58)
Symmetry-distinct sites (fractional):
Sm: 0.0000 0.0000 0.0000 x2  6 P 2.87-2.91, 6 Ni 2.97-3.09
Sm: 0.1205 0.2772 0.0000 x4  6 P 2.89-2.94, 10 Ni 2.97-3.22
Ni: 0.0689 0.8218 0.5000 x4  4 P 2.31-2.48
Ni: 0.0730 0.5637 0.0000 x4  2 P 2.30, 4 Ni 2.39-2.56
Ni: 0.0978 0.4409 0.5000 x4  2 P 2.26-2.31
Ni: 0.1799 0.7153 0.0000 x4  4 P 2.22-2.38, 1 Ni 2.43
Ni: 0.2243 0.9623 0.5000 x4  3 P 2.28-2.38
Ni: 0.2478 0.5869 0.5000 x4  3 P 2.19-2.27
P: 0.0671 0.6583 0.5000 x4  7 Ni 2.19-2.37
P: 0.1390 0.1177 0.5000 x4  5 Ni 2.27-2.39
P: 0.2070 0.8711 0.0000 x4  6 Ni 2.22-2.48

[2]
# SiBAsRhS

SiBAsRhS after structural relaxation (GGA-PBE, the Alexandria database).

Properties
- DOS at the Fermi energy (states/eV per cell) = 0.95
- energy above the most stable polymorph in this dataset (kJ/mol of formula units) = 83
- raw formation energy (eV per atom) = -0.03
- crystal system = monoclinic

a = 4.7341 Å, b = 2.9738 Å, c = 6.2431 Å
α = 90.00°, β = 104.33°, γ = 90.00°
Closest atoms and distances in Å follow each position.
Space group Pm (No. 6)
Symmetry-distinct sites (fractional):
Si: 0.0000 0.0000 0.0000 x1  2 Rh 2.32, 1 S 2.36
B: 0.6438 0.5000 0.3708 x1  2 S 1.87, 1 As 2.04
As: 0.4006 0.5000 0.5995 x1  1 B 2.04
Rh: 0.9337 0.5000 0.7068 x1  1 B 2.20, 2 Si 2.32, 2 As 2.45-2.46
S: 0.6225 0.0000 0.1865 x1  2 B 1.87

[3]
# InFeAg2

InFeAg2 after structural relaxation (GGA-PBE, the Alexandria database).

Properties
- DOS at the Fermi energy (states/eV per cell) = 2.44
- crystal system = monoclinic
- ΔE_f (meV/atom) = 259.8

a = 2.9056 Å, b = 4.7634 Å, c = 5.1411 Å
α = 90.00°, β = 95.27°, γ = 90.00°
Closest atoms and distances in Å follow each position.
Space group P2/m (No. 10)
Symmetry-distinct sites (fractional):
In: 0.0000 0.0000 0.0000 x1  4 Fe 2.83-3.07, 4 Ag 2.88, 2 In 2.91
Fe: 0.5000 0.0000 0.5000 x1  4 Ag 2.79, 4 In 2.83-3.07, 2 Fe 2.91
Ag: 0.2641 0.5000 0.7377 x2  5 Ag 2.76-2.91, 2 Fe 2.79, 2 In 2.88

[4]
# SmEr2Pa

SmEr2Pa after structural relaxation (GGA-PBE, the Alexandria database).

Properties
- DOS at the Fermi energy (states/eV per cell) = 7.14
- energy above the most stable polymorph in this dataset (kJ/mol of formula units) = 5
- crystal system = tetragonal
- ΔE_f (meV/atom) = 124.1

a = 3.4110 Å, b = 3.4110 Å, c = 10.1574 Å
α = 90.00°, β = 90.00°, γ = 90.00°
Closest atoms and distances in Å follow each position.
Space group P4/mmm (No. 123)
Symmetry-distinct sites (fractional):
Sm: 0.0000 0.0000 0.0000 x1  4 Sm 3.41, 8 Er 3.64
Er: 0.5000 0.5000 0.2685 x2  4 Pa 3.37, 4 Er 3.41, 4 Sm 3.64
Pa: 0.0000 0.0000 0.5000 x1  8 Er 3.37, 4 Pa 3.41

[5]
# Ba2MgCd10

Ba2MgCd10 after structural relaxation (GGA-PBE, the Alexandria database).

Properties
- DOS at the Fermi energy (states/eV per cell) = 12.86
- crystal system = orthorhombic
- ΔE_f (meV/atom) = -131.2

a = 9.9813 Å, b = 12.3071 Å, c = 6.4820 Å
α = 90.00°, β = 90.00°, γ = 90.00°
Closest atoms and distances in Å follow each position.
Space group Pbam (No. 55)
Symmetry-distinct sites (fractional):
Ba: 0.2367 0.0631 0.0000 x4  12 Cd 3.63-3.94
Mg: 0.0000 0.0000 0.5000 x2  8 Cd 2.83-3.06
Cd: 0.0478 0.6164 0.5000 x4  7 Cd 2.83-3.15
Cd: 0.0772 0.8095 0.2216 x8  4 Cd 2.87-3.09, 1 Mg 3.06
Cd: 0.1735 0.2005 0.5000 x4  5 Cd 2.91-3.15, 1 Mg 3.02
Cd: 0.2296 0.4322 0.5000 x4  1 Mg 2.83, 5 Cd 2.83-3.04

[6]
# Be3RhPb

Be3RhPb after structural relaxation (GGA-PBE, the Alexandria database).

Properties
- DOS at the Fermi energy (states/eV per cell) = 2.40
- energy above the most stable polymorph in this dataset (kJ/mol of formula units) = 612
- crystal system = cubic
- ΔE_f (meV/atom) = 1557.6

a = 4.4805 Å, b = 4.4805 Å, c = 4.4805 Å
α = 90.00°, β = 90.00°, γ = 90.00°
Closest atoms and distances in Å follow each position.
Space group Pm-3m (No. 221)
Symmetry-distinct sites (fractional):
Be: 0.0000 0.0000 0.5000 x3  2 Pb 2.24
Rh: 0.5000 0.5000 0.5000 x1  12 Be 3.17
Pb: 0.0000 0.0000 0.0000 x1  6 Be 2.24

[7]
# KReAs2Br

KReAs2Br after structural relaxation (GGA-PBE, the Alexandria database).

Properties
- DOS at the Fermi energy (states/eV per cell) = 3.52
- energy above the most stable polymorph in this dataset (kJ/mol of formula units) = 813
- raw formation energy (eV per atom) = 1.59
- crystal system = tetragonal

a = 5.2792 Å, b = 5.2792 Å, c = 5.4493 Å
α = 90.00°, β = 90.00°, γ = 90.00°
Closest atoms and distances in Å follow each position.
Space group P4/mmm (No. 123)
Symmetry-distinct sites (fractional):
K: 0.0000 0.0000 0.0000 x1  2 Br 2.72
Re: 0.5000 0.5000 0.0000 x1  4 K 3.73, 8 As 3.79
As: 0.0000 0.5000 0.5000 x2  2 Br 2.64
Br: 0.0000 0.0000 0.5000 x1  4 As 2.64, 2 K 2.72

[8]
# MgPb2Au

MgPb2Au after structural relaxation (GGA-PBE, the Alexandria database).

Properties
- DOS at the Fermi energy (states/eV per cell) = 2.19
- crystal system = tetragonal
- ΔE_f (meV/atom) = -202.4

a = 3.5180 Å, b = 3.5180 Å, c = 8.0735 Å
α = 90.00°, β = 90.00°, γ = 90.00°
Closest atoms and distances in Å follow each position.
Space group P4mm (No. 99)
Symmetry-distinct sites (fractional):
Mg: 0.0000 0.0000 0.0000 x1  4 Au 2.79
Pb: 0.0000 0.0000 0.5916 x1  4 Au 3.21, 1 Mg 3.30, 4 Pb 3.52
Pb: 0.5000 0.5000 0.2652 x1  4 Mg 3.28, 1 Au 3.41, 8 Pb 3.52-3.62
Au: 0.5000 0.5000 0.8426 x1  4 Mg 2.79

[9]
# SmTm2O

SmTm2O after structural relaxation (GGA-PBE, the Alexandria database).

Properties
- DOS at the Fermi energy (states/eV per cell) = 4.57
- energy above the most stable polymorph in this dataset (kJ/mol of formula units) = 220
- raw formation energy (eV per atom) = -0.80
- crystal system = tetragonal

a = 3.1739 Å, b = 3.1739 Å, c = 8.6303 Å
α = 90.00°, β = 90.00°, γ = 90.00°
Closest atoms and distances in Å follow each position.
Space group P4/mmm (No. 123)
Symmetry-distinct sites (fractional):
Sm: 0.0000 0.0000 0.0000 x1  4 Sm 3.17
Tm: 0.5000 0.5000 0.3221 x2  4 O 2.72
O: 0.0000 0.0000 0.5000 x1  8 Tm 2.72

[10]
# AlFeIr2

AlFeIr2 after structural relaxation (GGA-PBE, the Alexandria database).

Properties
- DOS at the Fermi energy (states/eV per cell) = 5.93
- crystal system = monoclinic
- ΔE_f (meV/atom) = -340.9

a = 8.5647 Å, b = 2.7640 Å, c = 4.7830 Å
α = 90.00°, β = 100.95°, γ = 90.00°
Closest atoms and distances in Å follow each position.
Space group C2/m (No. 12)
Symmetry-distinct sites (fractional):
Al: 0.0000 0.0000 0.0000 x2  6 Ir 2.62-2.68, 4 Fe 2.76, 2 Al 2.76
Fe: 0.0000 0.5000 0.5000 x2  6 Ir 2.61-2.65, 4 Al 2.76, 2 Fe 2.76
Ir: 0.2469 0.5000 0.2530 x4  3 Fe 2.61-2.65, 3 Al 2.62-2.68, 6 Ir 2.73-2.80

[11]
# YNiI2N

YNiI2N after structural relaxation (GGA-PBE, the Alexandria database).

Properties
- DOS at the Fermi energy (states/eV per cell) = 12.74
- energy above the most stable polymorph in this dataset (kJ/mol of formula units) = 156
- raw formation energy (eV per atom) = 0.42
- crystal system = tetragonal

a = 6.1196 Å, b = 6.1196 Å, c = 4.1042 Å
α = 90.00°, β = 90.00°, γ = 90.00°
Closest atoms and distances in Å follow each position.
Space group P4/mmm (No. 123)
Symmetry-distinct sites (fractional):
Y: 0.0000 0.0000 0.0000 x1  2 N 2.05
Ni: 0.5000 0.5000 0.5000 x1  8 I 3.68, 2 Ni 4.10
I: 0.0000 0.5000 0.0000 x2  2 Y 3.06
N: 0.0000 0.0000 0.5000 x1  2 Y 2.05

[12]
# NaTl6O8

NaTl6O8 after structural relaxation (GGA-PBE, the Alexandria database).

Properties
- DOS at the Fermi energy (states/eV per cell) = 18.55
- energy above the most stable polymorph in this dataset (kJ/mol of formula units) = 255
- raw formation energy (eV per atom) = -0.48
- crystal system = cubic

a = 10.9195 Å, b = 10.9195 Å, c = 10.9195 Å
α = 90.00°, β = 90.00°, γ = 90.00°
Closest atoms and distances in Å follow each position.
Space group Fm-3m (No. 225)
Symmetry-distinct sites (fractional):
Na: 0.0000 0.0000 0.0000 x4  8 O 2.70
Tl: 0.0000 0.2500 0.2500 x24  4 O 2.27
O: 0.1427 0.1427 0.1427 x32  3 Tl 2.27

| no. | E (Ha/atom) |
| --- | --- |
| 1 | -0.2324 |
| 2 | -0.2086 |
| 3 | -0.1457 |
| 4 | -0.2099 |
| 5 | -0.0461 |
| 6 | -0.1062 |
| 7 | -0.1217 |
| 8 | -0.1203 |
| 9 | -0.2005 |
| 10 | -0.2875 |
| 11 | -0.1586 |
| 12 | -0.1528 |